[1]
HoNpSc: optimized geometry, PBE.

abc: 3.2721 3.2721 8.3310
angles: 90.00 90.00 120.00
Last column: magnetic moment on the atom in μB.
Fractional coordinates of all 3 atoms:
Np 0.3333 0.6667 0.6749  3.70
Sc 0.0000 0.0000 0.9907  -0.08
Ho 0.6667 0.3333 0.3344  -0.09

- Polymorph energy (0 for the lowest one): 0.131 eV per atom
- Space group: P3m1, No. 156
- Energy relative to the elements: 0.33 eV per atom
- Density: 9.607 g/cm3

[2]
HoNpSc: optimized geometry, PBE.

abc: 3.2693 3.2693 7.6233
angles: 102.38 102.38 90.00
Last column: magnetic moment on the atom in μB.
Fractional coordinates of all 3 atoms:
Np 0.6717 0.6717 0.3434  3.78
Sc 0.3252 0.3252 0.6505  -0.06
Ho 0.0031 0.0031 0.0062  -0.03

- Polymorph energy (0 for the lowest one): 0.153 eV per atom
- Space group: I4mm, No. 107
- Energy relative to the elements: 0.35 eV per atom
- Density: 9.558 g/cm3

[3]
HoNpSc: optimized geometry, PBE.

abc: 3.4888 5.6231 8.0260
angles: 94.77 102.55 90.00
Fractional coordinates of all 6 atoms:
Np 0.7573 0.1454 0.5146
Np 0.2427 0.8546 0.4854
Sc 0.5821 0.8412 0.1643
Sc 0.4179 0.1588 0.8357
Ho 0.9006 0.6547 0.8013
Ho 0.0994 0.3453 0.1987

- Polymorph energy (0 for the lowest one): 0.000 eV per atom
- Space group: C2/m, No. 12
- Energy relative to the elements: 0.20 eV per atom
- Density: 9.692 g/cm3

[4]
HoNp2ScSe4: optimized geometry, PBE.

abc: 4.0148 6.9598 7.0402
angles: 109.17 90.00 90.00
Last column: magnetic moment on the atom in μB.
Fractional coordinates of all 8 atoms:
Ho 0.5000 0.5000 0.0000  0.02
Np 0.5000 0.0000 0.5000  4.11
Np 0.0000 0.5000 0.5000  4.17
Sc 0.0000 0.0000 0.0000  0.02
Se 0.5000 0.2392 0.2361  -0.03
Se 0.5000 0.7608 0.7639  -0.03
Se 0.0000 0.2470 0.7594  -0.03
Se 0.0000 0.7530 0.2406  -0.03

- Formation energy from raw total energies: -1.366 eV/atom
- Space group: P2/m, No. 10
- Density: 8.934 g/cm3

[5]
Ho3Np3ScSe8: optimized geometry, PBE.

abc: 8.1123 8.1118 8.1175
angles: 119.96 90.00 120.00
Last column: magnetic moment on the atom in μB.
Fractional coordinates of all 15 atoms:
Ho 0.5000 0.0000 0.5000  0.03
Ho 0.5000 0.5000 0.5000  0.03
Ho 0.0000 0.5000 0.5000  0.03
Np 0.0000 0.0000 0.0000  4.09
Np 0.0000 0.5000 0.0000  4.09
Np 0.5000 0.5000 0.0000  4.09
Sc 0.0000 0.0000 0.5000  0.21
Se 0.2516 0.5031 0.2543  -0.04
Se 0.7484 0.4969 0.7457  -0.04
Se 0.7549 0.5099 0.2584  -0.04
Se 0.2451 0.4901 0.7416  -0.04
Se 0.7547 0.0034 0.2586  -0.04
Se 0.2453 0.9966 0.7414  -0.04
Se 0.2487 0.0034 0.2586  -0.04
Se 0.7513 0.9966 0.7414  -0.04

- Formation energy from raw total energies: -1.502 eV/atom
- Space group: R-3m, No. 166
- Density: 8.271 g/cm3

[6]
Ho6NpSe8: optimized geometry, PBE.

abc: 8.0960 8.0960 8.0960
angles: 60.00 60.00 60.00
Last column: magnetic moment on the atom in μB.
Fractional coordinates of all 15 atoms:
Ho 0.0000 0.5000 0.5000  0.07
Ho 0.5000 0.0000 0.0000  0.07
Ho 0.5000 0.5000 0.0000  0.07
Ho 0.0000 0.0000 0.5000  0.07
Ho 0.0000 0.5000 0.0000  0.07
Ho 0.5000 0.0000 0.5000  0.07
Np 0.0000 0.0000 0.0000  4.12
Se 0.7500 0.7500 0.7500  0.00
Se 0.2500 0.2500 0.2500  0.00
Se 0.7432 0.2568 0.2568  -0.02
Se 0.2568 0.7432 0.7432  -0.02
Se 0.2568 0.2568 0.7432  -0.02
Se 0.7432 0.7432 0.2568  -0.02
Se 0.7432 0.2568 0.7432  -0.02
Se 0.2568 0.7432 0.2568  -0.02

- Formation energy from raw total energies: -1.691 eV/atom
- Space group: Fm-3m, No. 225
- Density: 8.224 g/cm3

[7]
HoNp6Se8: optimized geometry, PBE.

abc: 8.1809 8.1809 8.1809
angles: 60.00 60.00 60.00
Last column: magnetic moment on the atom in μB.
Fractional coordinates of all 15 atoms:
Ho 0.0000 0.0000 0.0000  0.17
Np 0.0000 0.5000 0.5000  4.05
Np 0.5000 0.0000 0.0000  4.05
Np 0.5000 0.5000 0.0000  4.05
Np 0.0000 0.0000 0.5000  4.05
Np 0.0000 0.5000 0.0000  4.05
Np 0.5000 0.0000 0.5000  4.05
Se 0.7500 0.7500 0.7500  -0.09
Se 0.2500 0.2500 0.2500  -0.09
Se 0.7494 0.2506 0.2506  -0.07
Se 0.2506 0.7494 0.7494  -0.07
Se 0.2506 0.2506 0.7494  -0.07
Se 0.7494 0.7494 0.2506  -0.07
Se 0.7494 0.2506 0.7494  -0.07
Se 0.2506 0.7494 0.2506  -0.07

- Formation energy from raw total energies: -1.216 eV/atom
- Space group: Fm-3m, No. 225
- Density: 9.516 g/cm3

[8]
Ho3NpSe6: optimized geometry, PBE.

abc: 4.0944 11.5710 11.7951
angles: 109.09 90.00 90.00
Last column: magnetic moment on the atom in μB.
Fractional coordinates of all 20 atoms:
Ho 0.7500 0.4341 0.8337  0.01
Ho 0.2500 0.5659 0.1663  0.01
Ho 0.7500 0.6807 0.5012  0.01
Ho 0.2500 0.3193 0.4988  0.01
Ho 0.7500 0.1576 0.0825  0.01
Ho 0.2500 0.8424 0.9175  0.01
Np 0.7500 0.0468 0.6924  3.92
Np 0.2500 0.9532 0.3076  3.92
Se 0.7500 0.4804 0.6153  -0.01
Se 0.2500 0.5196 0.3847  -0.01
Se 0.7500 0.9173 0.0990  -0.03
Se 0.2500 0.0827 0.9010  -0.03
Se 0.7500 0.3950 0.0624  0.00
Se 0.2500 0.6050 0.9376  0.00
Se 0.7500 0.7441 0.2755  -0.03
Se 0.2500 0.2559 0.7245  -0.03
Se 0.7500 0.1148 0.4626  -0.07
Se 0.2500 0.8852 0.5374  -0.07
Se 0.7500 0.8057 0.7499  -0.02
Se 0.2500 0.1943 0.2501  -0.02

- Formation energy from raw total energies: -1.681 eV/atom
- Space group: P2_1/m, No. 11
- Density: 7.581 g/cm3

[9]
SmHoNp2Se4: optimized geometry, PBE.

abc: 4.1022 7.1185 7.1142
angles: 109.36 90.00 90.00
Last column: magnetic moment on the atom in μB.
Fractional coordinates of all 8 atoms:
Sm 0.0000 0.0000 0.0000  0.02
Ho 0.5000 0.5000 0.0000  0.03
Np 0.5000 0.0000 0.5000  4.16
Np 0.0000 0.5000 0.5000  4.09
Se 0.5000 0.2552 0.2523  -0.04
Se 0.5000 0.7448 0.7477  -0.04
Se 0.0000 0.2551 0.7514  -0.03
Se 0.0000 0.7449 0.2486  -0.03

- Formation energy from raw total energies: -1.429 eV/atom
- Space group: P2/m, No. 10
- Density: 9.363 g/cm3

[10]
HoNpTeSe2: optimized geometry, PBE.

abc: 4.5602 4.5602 7.6679
angles: 107.30 107.30 90.00
Last column: magnetic moment on the atom in μB.
Fractional coordinates of all 5 atoms:
Ho 0.8649 0.8649 0.7299  0.12
Np 0.1275 0.1275 0.2549  3.91
Te 0.5041 0.5041 0.0083  -0.07
Se 0.7517 0.2517 0.5035  -0.08
Se 0.2517 0.7517 0.5035  -0.08

- Formation energy from raw total energies: -0.972 eV/atom
- Space group: I4mm, No. 107
- Density: 7.890 g/cm3

[11]
HoNp2Te2Se2: optimized geometry, PBE.

abc: 5.3000 5.3000 8.6680
angles: 107.80 107.80 90.00
Last column: magnetic moment on the atom in μB.
Fractional coordinates of all 7 atoms:
Ho 0.0000 0.0000 0.0000  0.07
Np 0.3856 0.3856 0.7712  4.33
Np 0.6144 0.6144 0.2288  4.33
Te 0.1893 0.1893 0.3787  -0.09
Te 0.8107 0.8107 0.6213  -0.09
Se 0.0000 0.5000 0.0000  -0.04
Se 0.5000 0.0000 0.0000  -0.04

- Formation energy from raw total energies: -0.824 eV/atom
- Space group: I4/mmm, No. 139
- Density: 7.957 g/cm3

[12]
HoNp2Tl3Se6: optimized geometry, PBE.

abc: 7.2838 7.2838 8.1424
angles: 98.57 98.57 119.99
Last column: magnetic moment on the atom in μB.
Fractional coordinates of all 12 atoms:
Ho 0.0000 0.0000 0.0000  0.05
Np 0.3334 0.6666 0.0000  3.92
Np 0.6666 0.3334 0.0000  3.92
Tl 0.1673 0.8327 0.5000  0.00
Tl 0.8327 0.1673 0.5000  0.00
Tl 0.5000 0.5000 0.5000  0.00
Se 0.9322 0.6012 0.7966  -0.06
Se 0.7371 0.7371 0.2042  -0.05
Se 0.0678 0.3988 0.2034  -0.06
Se 0.6012 0.9322 0.7966  -0.06
Se 0.2629 0.2629 0.7958  -0.05
Se 0.3988 0.0678 0.2034  -0.06

- Formation energy from raw total energies: -1.052 eV/atom
- Space group: C2/m, No. 12
- Density: 8.024 g/cm3